[1]
# ZrPt2Cl (GGA-PBE, relaxed)
data_ZrPt2Cl
_space_group_name_H-M_alt 'R 3 m'
_space_group_IT_number 160
_space_group_name_Hall 'R 3 -2"'
_cell_length_a 3.0217
_cell_length_b 3.0217
_cell_length_c 28.7563
_cell_angle_alpha 90.00
_cell_angle_beta 90.00
_cell_angle_gamma 120.00
loop_
_atom_site_label
_atom_site_type_symbol
_atom_site_fract_x
_atom_site_fract_y
_atom_site_fract_z
_atom_site_occupancy
Zr1 Zr 0.0000 0.0000 0.0000 1
Pt1 Pt 0.0000 0.0000 0.2550 1
Pt2 Pt 0.0000 0.0000 0.5097 1
Cl1 Cl 0.0000 0.0000 0.7328 1
# Magnetization   0.0 μB per formula unit
# ΔE to the lowest computed polymorph   275 meV per atom



[2]
# LaNdGa4 (GGA-PBE, relaxed)
data_LaNdGa4
_space_group_name_H-M_alt 'I -4 m 2'
_space_group_IT_number 119
_space_group_name_Hall 'I -4 -2'
_cell_length_a 4.325
_cell_length_b 4.325
_cell_length_c 14.999
_cell_angle_alpha 90.00
_cell_angle_beta 90.00
_cell_angle_gamma 90.00
loop_
_atom_site_label
_atom_site_type_symbol
_atom_site_fract_x
_atom_site_fract_y
_atom_site_fract_z
_atom_site_occupancy
La1 La 0.000 0.000 0.000 1
Nd1 Nd 0.000 0.500 0.750 1
Ga1 Ga 0.000 0.000 0.416 1
Ga2 Ga 0.000 0.500 0.168 1
# Magnetization   0.0 μB per formula unit
# ΔE to the lowest computed polymorph   0 meV per atom



[3]
# NpGe2Mo (GGA-PBE, relaxed)
data_NpGe2Mo
_space_group_name_H-M_alt 'R -3 m'
_space_group_IT_number 166
_space_group_name_Hall '-R 3 2"'
_cell_length_a 3.0235
_cell_length_b 3.0235
_cell_length_c 27.4620
_cell_angle_alpha 90.00
_cell_angle_beta 90.00
_cell_angle_gamma 120.00
loop_
_atom_site_label
_atom_site_type_symbol
_atom_site_fract_x
_atom_site_fract_y
_atom_site_fract_z
_atom_site_occupancy
Np1 Np 0.0000 0.0000 0.0000 1
Ge1 Ge 0.0000 0.0000 0.2393 1
Mo1 Mo 0.0000 0.0000 0.5000 1
# Magnetization   3.8 μB per formula unit
# ΔE to the lowest computed polymorph   130 meV per atom



[4]
# Co2ReBTe (GGA-PBE, relaxed)
data_Co2ReBTe
_space_group_name_H-M_alt 'P 4/m m m'
_space_group_IT_number 123
_space_group_name_Hall '-P 4 2'
_cell_length_a 3.844
_cell_length_b 3.844
_cell_length_c 4.645
_cell_angle_alpha 90.00
_cell_angle_beta 90.00
_cell_angle_gamma 90.00
loop_
_atom_site_label
_atom_site_type_symbol
_atom_site_fract_x
_atom_site_fract_y
_atom_site_fract_z
_atom_site_occupancy
Co1 Co 0.000 0.500 0.000 1
Re1 Re 0.000 0.000 0.500 1
B1 B 0.500 0.500 0.000 1
Te1 Te 0.500 0.500 0.500 1
# Total energy   -6.3751 eV per atom
# Magnetization   2.0 μB per formula unit



> What is the magnetization in the second record?

0.0 μB per formula unit